1.
# Tb2Y2Cd | Alexandria via LeMat-Bulk | GGA-PBE | relaxed
data_Tb2Y2Cd
_chemical_formula_sum 'Tb2 Y2 Cd1'
_cell_length_a 3.5816
_cell_length_b 3.5816
_cell_length_c 11.9266
_cell_angle_alpha 98.64
_cell_angle_beta 98.64
_cell_angle_gamma 90.00
_symmetry_space_group_name_H-M 'P 1'
_symmetry_Int_Tables_number 1
loop_
_symmetry_equiv_pos_as_xyz
'x,y,z'
loop_
_atom_site_label
_atom_site_type_symbol
_atom_site_fract_x
_atom_site_fract_y
_atom_site_fract_z
Tb1 Tb 0.8032 0.8032 0.6064
Tb2 Tb 0.1968 0.1968 0.3936
Y1 Y 0.5888 0.5888 0.1776
Y2 Y 0.4112 0.4112 0.8224
Cd1 Cd 0.0000 0.0000 0.0000
# * DFT formation energy: -0.121 eV per atom
# * energy relative to the lowest polymorph listed for this composition: 0.0 kJ/mol of atoms

---

2.
# MgCdIr2 | Alexandria via LeMat-Bulk | GGA-PBE | relaxed
data_MgCdIr2
_chemical_formula_sum 'Mg1 Cd1 Ir2'
_cell_length_a 4.8718
_cell_length_b 4.8718
_cell_length_c 4.8718
_cell_angle_alpha 130.52
_cell_angle_beta 130.52
_cell_angle_gamma 72.58
_symmetry_space_group_name_H-M 'P 1'
_symmetry_Int_Tables_number 1
loop_
_symmetry_equiv_pos_as_xyz
'x,y,z'
loop_
_atom_site_label
_atom_site_type_symbol
_atom_site_fract_x
_atom_site_fract_y
_atom_site_fract_z
Cd1 Cd 0.7500 0.2500 0.5000
Ir1 Ir 0.0000 0.0000 0.0000
Ir2 Ir 0.2500 0.7500 0.5000
Mg1 Mg 0.5000 0.5000 0.0000
# * DFT formation energy: 0.063 eV per atom

---

3.
# Cs2KBaI5 | Alexandria via LeMat-Bulk | GGA-PBE | relaxed
data_Cs2KBaI5
_chemical_formula_sum 'Cs4 K2 Ba2 I10'
_cell_length_a 5.2678
_cell_length_b 11.4159
_cell_length_c 17.3763
_cell_angle_alpha 90.00
_cell_angle_beta 90.00
_cell_angle_gamma 103.34
_symmetry_space_group_name_H-M 'P 1'
_symmetry_Int_Tables_number 1
loop_
_symmetry_equiv_pos_as_xyz
'x,y,z'
loop_
_atom_site_label
_atom_site_type_symbol
_atom_site_fract_x
_atom_site_fract_y
_atom_site_fract_z
Cs1 Cs 0.8666 0.7332 0.7966
Cs2 Cs 0.0859 0.1717 0.6603
Cs3 Cs 0.1334 0.2668 0.2966
Cs4 Cs 0.9141 0.8283 0.1603
K1 K 0.5413 0.0825 0.9527
K2 K 0.4587 0.9175 0.4527
Ba1 Ba 0.7733 0.5467 0.5263
Ba2 Ba 0.2267 0.4533 0.0263
I1 I 0.3796 0.7591 0.9905
I2 I 0.7008 0.4016 0.8979
I3 I 0.4942 0.9884 0.7679
I4 I 0.2617 0.5234 0.6615
I5 I 0.9240 0.8481 0.5703
I6 I 0.6204 0.2409 0.4905
I7 I 0.2992 0.5984 0.3979
I8 I 0.5058 0.0116 0.2679
I9 I 0.7383 0.4766 0.1615
I10 I 0.0760 0.1519 0.0703
# * E_form (uncorrected): -1.594 eV per atom

---

For reference, E_tot by record: -23.7, -20.0, -53.7 eV per cell.